# 1
A plane-wave DFT calculation with GGA-PBE was carried out for a geometry-optimized Pr4Ho5Tm structure.

a = 3.5352 Å, b = 11.3280 Å, c = 8.7579 Å
α = 89.92°, β = 101.59°, γ = 90.00°
Last column: nearest neighbours and their distance in Å.
Fractional coordinates of all 10 atoms:
Pr1 0.6580 0.2503 0.3190  4 Pr 3.54-3.73, 7 Ho 3.67-3.93, 1 Tm 3.94
Pr2 0.0322 0.7507 0.0642  4 Ho 3.32-3.39, 2 Tm 3.38, 2 Pr 3.54
Pr3 0.3420 0.7497 0.6810  4 Pr 3.54-3.73, 7 Ho 3.67-3.93, 1 Tm 3.94
Pr4 0.9678 0.2493 0.9358  4 Ho 3.32-3.39, 2 Tm 3.38, 2 Pr 3.54
Ho1 0.8279 0.0475 0.6550  2 Pr 3.32-3.68, 4 Ho 3.37-3.54, 2 Tm 3.49
Ho2 0.8274 0.4510 0.6540  2 Pr 3.32-3.67, 6 Ho 3.36-3.54
Ho3 0.1721 0.9525 0.3450  2 Pr 3.32-3.68, 4 Ho 3.37-3.54, 2 Tm 3.49
Ho4 0.5000 0.5000 0.0000  4 Pr 3.39, 6 Ho 3.50-3.54
Ho5 0.1726 0.5490 0.3460  2 Pr 3.32-3.67, 6 Ho 3.36-3.54
Tm1 0.5000 0.0000 0.0000  4 Pr 3.38, 4 Ho 3.49, 2 Tm 3.54

## Properties
As for the formation energy: 4.40 kcal/mol of atoms. The calculation puts the energy above the most stable polymorph in this dataset at 0 meV per atom.

---

# 2
A plane-wave DFT calculation with GGA-PBE was carried out for a geometry-optimized Li2AlHRh structure.

a = 3.7101 Å, b = 3.7101 Å, c = 4.0386 Å
α = 90.00°, β = 90.00°, γ = 90.00°
Last column: nearest neighbours and their distance in Å.
Fractional coordinates of all 5 atoms:
Li1 0.0000 0.5000 0.0000  2 H 1.86
Li2 0.5000 0.0000 0.0000  2 H 1.86
Al1 0.5000 0.5000 0.5000  4 Rh 2.62, 8 Li 2.74
H1 0.0000 0.0000 0.0000  4 Li 1.86, 2 Rh 2.02
Rh1 0.0000 0.0000 0.5000  2 H 2.02

## Properties
The total energy comes out at -4.047 eV per atom.

---

# 3
A plane-wave DFT calculation with GGA-PBE was carried out for a geometry-optimized CsCrAsBr2 structure.

a = 5.5800 Å, b = 5.5800 Å, c = 4.8368 Å
α = 90.00°, β = 90.00°, γ = 90.00°
Last column: nearest neighbours and their distance in Å.
Fractional coordinates of all 5 atoms:
Cs1 0.5000 0.5000 0.5000  8 Br 3.69, 4 As 3.95
Br1 0.5000 0.0000 0.0000  2 Cr 2.79
Br2 0.0000 0.5000 0.0000  2 Cr 2.79
Cr1 0.0000 0.0000 0.0000  2 As 2.42
As1 0.0000 0.0000 0.5000  2 Cr 2.42

## Properties
For the formation energy (no corrections), the calculation gives -0.61 eV/atom.

---

# 4
A plane-wave DFT calculation with GGA-PBE was carried out for a geometry-optimized CdRuRh2 structure.

a = 5.5402 Å, b = 5.5402 Å, c = 5.5402 Å
α = 150.59°, β = 130.46°, γ = 58.66°
Last column: nearest neighbours and their distance in Å.
Fractional coordinates of all 4 atoms:
Rh1 0.0183 0.0183 0.0000  4 Rh 2.69-2.81, 4 Ru 2.74, 2 Cd 2.97
Rh2 0.2558 0.7558 0.5000  2 Ru 2.56, 4 Rh 2.69-2.81, 4 Cd 2.72
Ru1 0.4778 0.4778 0.0000  6 Rh 2.56-2.74, 2 Ru 2.81
Cd1 0.7480 0.2480 0.5000  6 Rh 2.72-2.97, 2 Cd 2.81, 2 Ru 2.96

## Properties
As for the formation energy: 5.35 kcal/mol of atoms.

---

# 5
A plane-wave DFT calculation with GGA-PBE was carried out for a geometry-optimized ZnInGa structure.

a = 3.4043 Å, b = 5.9774 Å, c = 6.9334 Å
α = 114.16°, β = 101.50°, γ = 94.77°
Last column: nearest neighbours and their distance in Å.
Fractional coordinates of all 6 atoms:
Zn1 0.1064 0.4806 0.8390  4 Ga 2.73-2.80, 1 Zn 2.87, 2 In 2.88-2.91
Zn2 0.3381 0.7089 0.3082  4 Ga 2.73-2.80, 1 Zn 2.87, 2 In 2.88-2.91
In1 0.4142 0.2872 0.4561  4 Zn 2.88-3.15, 2 Ga 3.08
In2 0.0303 0.9024 0.6911  4 Zn 2.88-3.15, 2 Ga 3.08
Ga1 0.7512 0.8725 0.0772  1 Ga 2.70, 4 Zn 2.73-2.80
Ga2 0.6933 0.3170 0.0701  1 Ga 2.70, 4 Zn 2.73-2.80

## Properties
As for the formation energy: 1.15 kcal/mol of atoms.

---

# 6
A plane-wave DFT calculation with GGA-PBE was carried out for a geometry-optimized CsFe4As3 structure.

a = 3.7274 Å, b = 3.7274 Å, c = 10.9770 Å
α = 90.00°, β = 90.00°, γ = 90.00°
Last column: nearest neighbours and their distance in Å.
Fractional coordinates of all 8 atoms:
As1 0.5000 0.5000 0.7284  4 Fe 2.39
As2 0.0000 0.0000 0.0000  8 Fe 2.38
As3 0.5000 0.5000 0.2716  4 Fe 2.39
Fe1 0.0000 0.5000 0.1354  4 As 2.38-2.39, 4 Fe 2.64
Fe2 0.5000 0.0000 0.1354  4 As 2.38-2.39, 4 Fe 2.64
Fe3 0.5000 0.0000 0.8646  4 As 2.38-2.39, 4 Fe 2.64
Fe4 0.0000 0.5000 0.8646  4 As 2.38-2.39, 4 Fe 2.64
Cs1 0.0000 0.0000 0.5000  8 As 3.64, 4 Cs 3.73

## Properties
As for the formation energy: -2.77 kcal/mol of atoms.

---

# 7
A plane-wave DFT calculation with GGA-PBE was carried out for a geometry-optimized Cr3W structure.

a = 2.5929 Å, b = 2.5929 Å, c = 8.1844 Å
α = 90.00°, β = 90.00°, γ = 109.90°
Last column: nearest neighbours and their distance in Å.
Fractional coordinates of all 4 atoms:
Cr1 0.0000 0.0000 0.5149  6 Cr 2.43-2.59, 2 W 2.63
Cr2 0.5000 0.5000 0.7500  8 Cr 2.43-2.59
Cr3 0.0000 0.0000 0.9851  6 Cr 2.43-2.59, 2 W 2.63
W1 0.5000 0.5000 0.2500  4 W 2.59, 4 Cr 2.63

## Properties
As for the formation energy: 2.17 kcal/mol of atoms.

---

# 8
A plane-wave DFT calculation with GGA-PBE was carried out for a geometry-optimized GdHoFeCo structure.

a = 4.7602 Å, b = 4.7602 Å, c = 4.7602 Å
α = 60.00°, β = 60.00°, γ = 60.00°
Last column: nearest neighbours and their distance in Å.
Fractional coordinates of all 4 atoms:
Co1 0.7500 0.7500 0.7500  4 Gd 2.92, 4 Ho 2.92
Gd1 0.0000 0.0000 0.0000  4 Fe 2.92, 4 Co 2.92
Fe1 0.2500 0.2500 0.2500  4 Gd 2.92, 4 Ho 2.92
Ho1 0.5000 0.5000 0.5000  4 Fe 2.92, 4 Co 2.92

## Properties
As for the formation energy: 0.90 kcal/mol of atoms.

---

# 9
A plane-wave DFT calculation with GGA-PBE was carried out for a geometry-optimized KAl2Ir structure.

a = 8.3051 Å, b = 8.3051 Å, c = 8.3051 Å
α = 159.86°, β = 150.98°, γ = 35.58°
Last column: nearest neighbours and their distance in Å.
Fractional coordinates of all 4 atoms:
Ir1 0.5216 0.5216 0.0000  6 Al 2.50-2.55
Al1 0.6504 0.1504 0.5000  2 Ir 2.50
Al2 0.0086 0.0086 0.0000  4 Ir 2.55
K1 0.3194 0.8194 0.5000  2 K 2.90

## Properties
As for the formation energy: -4.67 kcal/mol of atoms. The calculation puts the energy above the most stable polymorph in this dataset at 0 meV per atom.

---

# 10
A plane-wave DFT calculation with GGA-PBE was carried out for a geometry-optimized CeHfMg4 structure.

a = 5.8578 Å, b = 5.8578 Å, c = 5.8578 Å
α = 60.00°, β = 60.00°, γ = 60.00°
Last column: nearest neighbours and their distance in Å.
Fractional coordinates of all 6 atoms:
Mg1 0.6259 0.1223 0.6259  6 Mg 2.91-2.95
Mg2 0.6259 0.6259 0.1223  6 Mg 2.91-2.95
Mg3 0.6259 0.6259 0.6259  6 Mg 2.91-2.95
Mg4 0.1223 0.6259 0.6259  6 Mg 2.91-2.95
Hf1 0.0000 0.0000 0.0000  12 Mg 3.43, 4 Ce 3.59
Ce1 0.2500 0.2500 0.2500  12 Mg 3.44, 4 Hf 3.59

## Properties
As for the formation energy: 3.36 kcal/mol of atoms.

---

# 11
A plane-wave DFT calculation with GGA-PBE was carried out for a geometry-optimized NaCa2Ta structure.

a = 8.5334 Å, b = 8.5334 Å, c = 6.9253 Å
α = 51.97°, β = 51.97°, γ = 90.00°
Last column: nearest neighbours and their distance in Å.
Fractional coordinates of all 8 atoms:
Na1 0.2500 0.7500 0.5000  4 Ca 3.10, 2 Ta 3.40
Na2 0.5000 0.5000 0.0000  4 Ca 3.10, 2 Ta 3.40
Ta1 0.7500 0.2500 0.5000  4 Ca 3.17, 2 Na 3.40
Ta2 0.0000 0.0000 0.0000  4 Ca 3.17, 2 Na 3.40
Ca1 0.6196 0.1250 0.2500  2 Na 3.10, 2 Ta 3.17, 2 Ca 3.40
Ca2 0.3750 0.3804 0.7500  2 Na 3.10, 2 Ta 3.17, 2 Ca 3.40
Ca3 0.1304 0.6250 0.2500  2 Na 3.10, 2 Ta 3.17, 2 Ca 3.40
Ca4 0.8750 0.8696 0.7500  2 Na 3.10, 2 Ta 3.17, 2 Ca 3.40

## Properties
As for the formation energy: 25.65 kcal/mol of atoms. The calculation puts the energy above the most stable polymorph in this dataset at 260 meV per atom.

---

# 12
A plane-wave DFT calculation with GGA-PBE was carried out for a geometry-optimized VPSCl2 structure.

a = 4.6770 Å, b = 4.6770 Å, c = 4.8548 Å
α = 90.00°, β = 90.00°, γ = 90.00°
Last column: nearest neighbours and their distance in Å.
Fractional coordinates of all 5 atoms:
Cl1 0.0000 0.5000 0.0000  2 S 2.34
Cl2 0.5000 0.0000 0.0000  2 S 2.34
S1 0.0000 0.0000 0.0000  4 Cl 2.34, 2 P 2.43
V1 0.5000 0.5000 0.5000  4 P 3.31, 8 Cl 3.37
P1 0.0000 0.0000 0.5000  2 S 2.43

## Properties
For the formation energy (no corrections), the calculation gives 0.78 eV/atom. The calculation puts the energy above the most stable polymorph in this dataset at 724 meV per atom.